(1)
## Li2Mg4TlAg2 (PBE)

Data for Li2Mg4TlAg2 after structural relaxation.

Its total energy is -19.14 eV/cell. For the formation energy, the calculation gives -0.096 eV per atom. The density of states at the Fermi level comes out at 2.58 states/eV/f.u. As for the volume: 20.78 Å³/atom.

The space group is P-1 (No. 2) and the conventional cell measures 5.5434, 5.7239 and 7.0886 Å, with angles of 99.65, 98.62 and 118.90 degrees. The distinct sites, in fractional coordinates, are Li at (0.2156, 0.3752, 0.4037), Mg at (0.2011, 0.8579, 0.3660), Mg at (0.3447, 0.7164, 0.8373), Tl at (0.0000, 0.0000, 0.0000) and Ag at (0.3730, 0.2274, 0.7463).

***

(2)
## In2NiMo (PBE)

Data for In2NiMo after structural relaxation.

Its total energy is -41.33 eV/cell. For the formation energy, the calculation gives 0.356 eV per atom. The density of states at the Fermi level comes out at 4.94 states/eV/f.u. As for the volume: 17.56 Å³/atom. As for the excess energy over the best structure of this formula in the dataset: 152.9 meV/atom.

The space group is I-4m2 (No. 119) and the conventional cell measures 3.9359, 3.9359 and 9.0685 Å, with angles of 90.00, 90.00 and 90.00 degrees. The distinct sites, in fractional coordinates, are In at (0.0000, 0.0000, 0.0000), In at (0.0000, 0.5000, 0.2500), Ni at (0.0000, 0.0000, 0.5000) and Mo at (0.0000, 0.5000, 0.7500).

***

(3)
## Sc2NbTeSe (PBE)

Data for Sc2NbTeSe after structural relaxation.

Its total energy is -29.35 eV/cell. The calculation puts the formation energy without anion corrections at 0.01 eV per formula unit. The density of states at the Fermi level comes out at 3.17 states/eV/f.u. As for the volume: 27.35 Å³/atom.

The space group is P4/mmm (No. 123) and the conventional cell measures 5.3667, 5.3667 and 4.7483 Å, with angles of 90.00, 90.00 and 90.00 degrees. The distinct sites, in fractional coordinates, are Sc at (0.0000, 0.5000, 0.0000), Nb at (0.0000, 0.0000, 0.0000), Te at (0.5000, 0.5000, 0.5000) and Se at (0.0000, 0.0000, 0.5000).

***

(4)
## Pr2H6PtRh (PBE)

Data for Pr2H6PtRh after structural relaxation.

Its total energy is -194.03 eV/cell. The density of states at the Fermi level comes out at 2.76 states/eV/f.u. As for the volume: 10.90 Å³/atom.

The space group is Fmmm (No. 69) and the conventional cell measures 7.4487, 7.6428 and 7.6584 Å, with angles of 90.00, 90.00 and 90.00 degrees. The distinct sites, in fractional coordinates, are Pr at (0.2500, 0.2500, 0.2500), H at (0.0000, 0.0000, 0.2390), H at (0.0000, 0.2400, 0.0000), H at (0.2460, 0.0000, 0.0000), Pt at (0.0000, 0.0000, 0.5000) and Rh at (0.0000, 0.0000, 0.0000).

***

(5)
## Ba2SrNiTe (PBE)

Data for Ba2SrNiTe after structural relaxation.

Its total energy is -16.70 eV/cell. The calculation puts the formation energy without anion corrections at -2.25 eV per formula unit. The density of states at the Fermi level comes out at 3.73 states/eV/f.u. As for the volume: 39.37 Å³/atom.

The space group is P4/mmm (No. 123) and the conventional cell measures 5.8619, 5.8619 and 5.7283 Å, with angles of 90.00, 90.00 and 90.00 degrees. The distinct sites, in fractional coordinates, are Ba at (0.0000, 0.5000, 0.0000), Sr at (0.0000, 0.0000, 0.5000), Ni at (0.0000, 0.0000, 0.0000) and Te at (0.5000, 0.5000, 0.5000).

***

(6)
## BiBCl2 (PBE)

Data for BiBCl2 after structural relaxation.

Its total energy is -36.24 eV/cell. The calculation puts the formation energy without anion corrections at 2.17 eV per formula unit. The density of states at the Fermi level comes out at 0.65 states/eV/f.u. As for the volume: 24.20 Å³/atom. As for the excess energy over the best structure of this formula in the dataset: 321.7 meV/atom.

The space group is R-3m (No. 166, hexagonal axes) and the conventional cell measures 3.5986, 3.5986 and 25.8957 Å, with angles of 90.00, 90.00 and 120.00 degrees. The distinct sites, in fractional coordinates, are Bi at (0.0000, 0.0000, 0.0000), B at (0.0000, 0.0000, 0.5000) and Cl at (0.0000, 0.0000, 0.1062).

***

(7)
## CuPRhPb2 (PBE)

Data for CuPRhPb2 after structural relaxation.

Its total energy is -21.24 eV/cell. For the formation energy, the calculation gives 0.607 eV per atom. The density of states at the Fermi level comes out at 3.86 states/eV/f.u. As for the volume: 25.49 Å³/atom.

The space group is P4/mmm (No. 123) and the conventional cell measures 5.1711, 5.1711 and 4.7659 Å, with angles of 90.00, 90.00 and 90.00 degrees. The distinct sites, in fractional coordinates, are Cu at (0.0000, 0.0000, 0.0000), P at (0.5000, 0.5000, 0.0000), Rh at (0.0000, 0.0000, 0.5000) and Pb at (0.0000, 0.5000, 0.5000).

***

(8)
## MnTc4Rh (PBE)

Data for MnTc4Rh after structural relaxation.

Its total energy is -224.10 eV/cell. For the formation energy, the calculation gives 0.327 eV per atom. The density of states at the Fermi level comes out at 4.55 states/eV/f.u. As for the volume: 15.31 Å³/atom.

The space group is F-43m (No. 216) and the conventional cell measures 7.1625, 7.1625 and 7.1625 Å, with angles of 90.00, 90.00 and 90.00 degrees. The distinct sites, in fractional coordinates, are Mn at (0.0000, 0.0000, 0.0000), Tc at (0.1253, 0.1253, 0.3747) and Rh at (0.2500, 0.2500, 0.7500).

***

(9)
## K3PmO3 (PBE)

Data for K3PmO3 after structural relaxation.

Its total energy is -145.37 eV/cell. The calculation puts the formation energy without anion corrections at -13.43 eV per formula unit. As for the volume: 21.86 Å³/atom. As for the excess energy over the best structure of this formula in the dataset: 0.0 meV/atom.

The space group is Imma (No. 74) and the conventional cell measures 7.0536, 7.6724 and 11.3089 Å, with angles of 90.00, 90.00 and 90.00 degrees. The distinct sites, in fractional coordinates, are K at (0.0000, 0.2500, 0.2205), K at (0.2482, 0.0000, 0.0000), Pm at (0.0000, 0.2500, 0.7865), O at (0.0000, 0.2500, 0.9811) and O at (0.2500, 0.0470, 0.7500).

***

(10)
## AsOsN2F (PBE)

Data for AsOsN2F after structural relaxation.

Its total energy is -26.91 eV/cell. The calculation puts the formation energy without anion corrections at 7.49 eV per formula unit. The density of states at the Fermi level comes out at 3.55 states/eV/f.u. As for the volume: 11.51 Å³/atom. As for the excess energy over the best structure of this formula in the dataset: 827.7 meV/atom.

The space group is P4/mmm (No. 123) and the conventional cell measures 3.9263, 3.9263 and 3.7348 Å, with angles of 90.00, 90.00 and 90.00 degrees. The distinct sites, in fractional coordinates, are As at (0.0000, 0.0000, 0.0000), Os at (0.5000, 0.5000, 0.5000), N at (0.0000, 0.5000, 0.0000) and F at (0.0000, 0.0000, 0.5000).

***

(11)
## YIr2PbCl (PBE)

Data for YIr2PbCl after structural relaxation.

Its total energy is -23.94 eV/cell. The calculation puts the formation energy without anion corrections at 5.80 eV per formula unit. The density of states at the Fermi level comes out at 6.53 states/eV/f.u. As for the volume: 29.75 Å³/atom.

The space group is P4/mmm (No. 123) and the conventional cell measures 4.9780, 4.9780 and 6.0020 Å, with angles of 90.00, 90.00 and 90.00 degrees. The distinct sites, in fractional coordinates, are Y at (0.0000, 0.0000, 0.0000), Ir at (0.0000, 0.5000, 0.5000), Pb at (0.0000, 0.0000, 0.5000) and Cl at (0.5000, 0.5000, 0.0000).

***

(12)
## TcAsBr2 (PBE)

Data for TcAsBr2 after structural relaxation.

Its total energy is -18.08 eV/cell. The calculation puts the formation energy without anion corrections at 0.28 eV per formula unit. The density of states at the Fermi level comes out at 1.60 states/eV/f.u. As for the volume: 26.41 Å³/atom. As for the excess energy over the best structure of this formula in the dataset: 101.5 meV/atom.

The space group is Pmm2 (No. 25) and the conventional cell measures 3.0911, 3.8274 and 8.9291 Å, with angles of 90.00, 90.00 and 90.00 degrees. The distinct sites, in fractional coordinates, are Tc at (0.0000, 0.0000, 0.0000), As at (0.5000, 0.5000, 0.0639), Br at (0.0000, 0.0000, 0.7311) and Br at (0.5000, 0.5000, 0.3440).

***

(13)
## Th2GaCo (PBE)

Data for Th2GaCo after structural relaxation.

Its total energy is -53.02 eV/cell. For the formation energy, the calculation gives -0.384 eV per atom. The density of states at the Fermi level comes out at 4.36 states/eV/f.u. As for the volume: 23.33 Å³/atom. As for the excess energy over the best structure of this formula in the dataset: 0.0 meV/atom.

The space group is P2_1/m (No. 11) and the conventional cell measures 6.2357, 3.7146 and 8.5821 Å, with angles of 90.00, 110.13 and 90.00 degrees. The distinct sites, in fractional coordinates, are Th at (0.2047, 0.2500, 0.3933), Th at (0.2185, 0.2500, 0.9571), Ga at (0.3509, 0.7500, 0.7082) and Co at (0.3537, 0.7500, 0.2161).

***

(14)
## VCuSi2Sb (PBE)

Data for VCuSi2Sb after structural relaxation.

Its total energy is -25.05 eV/cell. The calculation puts the formation energy without anion corrections at 3.13 eV per formula unit. The density of states at the Fermi level comes out at 3.74 states/eV/f.u. As for the volume: 21.14 Å³/atom.

The space group is P4/mmm (No. 123) and the conventional cell measures 4.5782, 4.5782 and 5.0418 Å, with angles of 90.00, 90.00 and 90.00 degrees. The distinct sites, in fractional coordinates, are V at (0.0000, 0.0000, 0.0000), Cu at (0.5000, 0.5000, 0.5000), Si at (0.0000, 0.5000, 0.0000) and Sb at (0.0000, 0.0000, 0.5000).

***

(15)
## CaCrIn2 (PBE)

Data for CaCrIn2 after structural relaxation.

Its total energy is -49.20 eV/cell. For the formation energy, the calculation gives 0.176 eV per atom. The density of states at the Fermi level comes out at 4.03 states/eV/f.u. As for the volume: 25.18 Å³/atom.

The space group is R-3m (No. 166, hexagonal axes) and the conventional cell measures 3.5049, 3.5049 and 28.4059 Å, with angles of 90.00, 90.00 and 120.00 degrees. The distinct sites, in fractional coordinates, are Ca at (0.0000, 0.0000, 0.0000), Cr at (0.0000, 0.0000, 0.5000) and In at (0.0000, 0.0000, 0.2407).

***

(16)
## RbCaOs2Ru (PBE)

Data for RbCaOs2Ru after structural relaxation.

Its total energy is -18.78 eV/cell. For the formation energy, the calculation gives 3.185 eV per atom. The density of states at the Fermi level comes out at 5.98 states/eV/f.u. As for the volume: 22.41 Å³/atom.

The space group is P4/mmm (No. 123) and the conventional cell measures 4.7600, 4.7600 and 4.9462 Å, with angles of 90.00, 90.00 and 90.00 degrees. The distinct sites, in fractional coordinates, are Rb at (0.0000, 0.0000, 0.0000), Ca at (0.0000, 0.0000, 0.5000), Os at (0.0000, 0.5000, 0.0000) and Ru at (0.5000, 0.5000, 0.5000).

***

(17)
## ZrW (PBE)

Data for ZrW after structural relaxation.

Its total energy is -35.31 eV/cell. For the formation energy, the calculation gives 1.923 eV per atom. The density of states at the Fermi level comes out at 3.68 states/eV/f.u. As for the volume: 25.99 Å³/atom.

The space group is P6_3/mmc (No. 194) and the conventional cell measures 4.6870, 4.6870 and 5.4649 Å, with angles of 90.00, 90.00 and 120.00 degrees. The distinct sites, in fractional coordinates, are Zr at (0.3333, 0.6667, 0.2500) and W at (0.3333, 0.6667, 0.7500).

***

(18)
## Y4Zn3Cd (PBE)

Data for Y4Zn3Cd after structural relaxation.

Its total energy is -100.28 eV/cell. For the formation energy, the calculation gives -0.354 eV per atom. The density of states at the Fermi level comes out at 7.87 states/eV/f.u. As for the volume: 23.85 Å³/atom.

The space group is R-3m (No. 166, hexagonal axes) and the conventional cell measures 5.1310, 5.1310 and 25.1079 Å, with angles of 90.00, 90.00 and 120.00 degrees. The distinct sites, in fractional coordinates, are Y at (0.0000, 0.0000, 0.1213), Y at (0.0000, 0.0000, 0.3714), Zn at (0.0000, 0.0000, 0.0000), Zn at (0.0000, 0.0000, 0.2487) and Cd at (0.0000, 0.0000, 0.5000).

***

(19)
## NdPuZnO6 (PBE)

Data for NdPuZnO6 after structural relaxation.

Its total energy is -69.83 eV/cell. The calculation puts the formation energy without anion corrections at -19.70 eV per formula unit. The density of states at the Fermi level comes out at 0.01 states/eV/f.u. As for the volume: 14.35 Å³/atom.

The space group is P312 (No. 149) and the conventional cell measures 5.7535, 5.7535 and 4.5053 Å, with angles of 90.00, 90.00 and 120.00 degrees. The distinct sites, in fractional coordinates, are Nd at (0.0000, 0.0000, 0.0000), Pu at (0.3333, 0.6667, 0.0000), Zn at (0.6667, 0.3333, 0.5000) and O at (0.0271, 0.3756, 0.2399).

***

(20)
## PrSmTh4 (PBE)

Data for PrSmTh4 after structural relaxation.

Its total energy is -150.46 eV/cell. For the formation energy, the calculation gives 0.260 eV per atom. The density of states at the Fermi level comes out at 13.20 states/eV/f.u. As for the volume: 35.05 Å³/atom. As for the excess energy over the best structure of this formula in the dataset: 203.3 meV/atom.

The space group is F-43m (No. 216) and the conventional cell measures 9.4399, 9.4399 and 9.4399 Å, with angles of 90.00, 90.00 and 90.00 degrees. The distinct sites, in fractional coordinates, are Pr at (0.0000, 0.0000, 0.0000), Sm at (0.2500, 0.2500, 0.7500) and Th at (0.1248, 0.1248, 0.3752).